Record 1
An optimized crystal structure of Sb2Pd. Source: OQMD via LeMat-Bulk, functional PBE.

Unit cell a=7.2701 b=4.5786 c=8.5448 alpha=90.00 beta=90.00 gamma=90.00
Closest atoms and distances in Å follow each position.
Space group Pnma (No. 62)
Inequivalent atoms, fractional coordinates:
1 Sb 0.0447 0.2500 0.1331 x4  3 Pd 2.72-2.79
2 Sb 0.1220 0.7500 0.3922 x4  4 Pd 2.75-2.94
3 Pd 0.2477 0.7500 0.0647 x4  7 Sb 2.72-2.94

Values from the calculation:
Calculated total energy (eV per atom): -4.7013

***

Record 2
An optimized crystal structure of SbPd8. Source: OQMD via LeMat-Bulk, functional PBE.

Unit cell a=8.7083 b=3.9139 c=26.7182 alpha=90.00 beta=90.48 gamma=90.00
Closest atoms and distances in Å follow each position.
Space group C2/m (No. 12)
Inequivalent atoms, fractional coordinates:
1 Sb 0.0544 0.0000 0.2198 x4  6 Pd 2.68-2.72
2 Pd 0.0489 0.5000 0.3829 x4  12 Pd 2.76-2.86
3 Pd 0.0496 0.5000 0.7193 x4  2 Sb 2.71, 9 Pd 2.77-2.86
4 Pd 0.0523 0.0000 0.5500 x4  12 Pd 2.76-2.82
5 Pd 0.1489 0.5000 0.4831 x4  12 Pd 2.75-2.81
6 Pd 0.1503 0.0000 0.6508 x4  12 Pd 2.74-2.92
7 Pd 0.1523 0.0000 0.3163 x4  1 Sb 2.71, 11 Pd 2.74-2.88
8 Pd 0.2484 0.0000 0.4170 x4  12 Pd 2.76-2.81
9 Pd 0.2478 0.0000 0.7557 x4  3 Sb 2.68-2.72, 6 Pd 2.78-2.92

Values from the calculation:
Calculated total energy (eV per atom): -5.1609

***

Record 3
An optimized crystal structure of SbPd. Source: OQMD via LeMat-Bulk, functional PBE.

Unit cell a=5.5477 b=5.5477 c=5.5477 alpha=90.00 beta=90.00 gamma=90.00
Closest atoms and distances in Å follow each position.
Space group Fm-3m (No. 225)
Inequivalent atoms, fractional coordinates:
1 Sb 0.0000 0.0000 0.0000 x4  6 Pd 2.77
2 Pd 0.0000 0.0000 0.5000 x4  6 Sb 2.77

Values from the calculation:
Calculated total energy (eV per atom): -4.9045

***

Record 4
An optimized crystal structure of SbPd. Source: OQMD via LeMat-Bulk, functional PBE.

Unit cell a=5.5034 b=4.0890 c=7.5996 alpha=90.00 beta=90.00 gamma=90.00
Closest atoms and distances in Å follow each position.
Space group Pmma (No. 51)
Inequivalent atoms, fractional coordinates:
1 Sb 0.2500 0.0000 0.0803 x2  2 Pd 2.63
2 Sb 0.2500 0.5000 0.6786 x2  7 Pd 2.76-2.90
3 Pd 0.0000 0.0000 0.5000 x2  6 Pd 2.75-2.91, 4 Sb 2.81
4 Pd 0.2500 0.5000 0.2972 x2  5 Sb 2.63-2.90, 4 Pd 2.91

Values from the calculation:
Calculated total energy (eV per atom): -4.9774

***

Record 5
An optimized crystal structure of SbPd. Source: OQMD via LeMat-Bulk, functional PBE.

Unit cell a=5.9749 b=5.9749 c=5.9749 alpha=90.00 beta=90.00 gamma=90.00
Closest atoms and distances in Å follow each position.
Space group F-43m (No. 216)
Inequivalent atoms, fractional coordinates:
1 Sb 0.0000 0.0000 0.0000 x4  4 Pd 2.59
2 Pd 0.2500 0.2500 0.2500 x4  4 Sb 2.59

Values from the calculation:
Calculated total energy (eV per atom): -4.7102

***

Record 6
An optimized crystal structure of SbPd8. Source: OQMD via LeMat-Bulk, functional PBE.

Unit cell a=8.3602 b=8.3602 c=4.0473 alpha=90.00 beta=90.00 gamma=90.00
Closest atoms and distances in Å follow each position.
Space group I4/mmm (No. 139)
Inequivalent atoms, fractional coordinates:
1 Sb 0.0000 0.0000 0.0000 x2  12 Pd 2.79-2.83
2 Pd 0.0000 0.3337 0.0000 x8  11 Pd 2.78-2.83, 1 Sb 2.79
3 Pd 0.1670 0.1670 0.5000 x8  10 Pd 2.78-2.83, 2 Sb 2.83

Values from the calculation:
Calculated total energy (eV per atom): -5.2802

***

Record 7
An optimized crystal structure of SbPd17. Source: OQMD via LeMat-Bulk, functional PBE.

Unit cell a=4.7805 b=5.5543 c=31.1731 alpha=90.00 beta=90.12 gamma=90.00
Closest atoms and distances in Å follow each position.
Space group P2_1/m (No. 11)
Inequivalent atoms, fractional coordinates:
1 Sb 0.1666 0.2500 0.2934 x2  9 Pd 2.77-2.78
2 Pd 0.0000 0.0000 0.0000 x2  12 Pd 2.76-2.79
3 Pd 0.0021 0.0012 0.7791 x4  11 Pd 2.76-2.84, 1 Sb 2.77
4 Pd 0.1661 0.2500 0.0729 x2  12 Pd 2.76-2.80
5 Pd 0.1665 0.7500 0.0734 x2  12 Pd 2.76-2.79
6 Pd 0.1673 0.7500 0.8532 x2  12 Pd 2.76-2.81
7 Pd 0.1675 0.7500 0.2962 x2  7 Pd 2.76-2.84, 2 Sb 2.78
8 Pd 0.1695 0.2500 0.8534 x2  12 Pd 2.76-2.81
9 Pd 0.3313 0.0002 0.1467 x4  12 Pd 2.76-2.81
10 Pd 0.3333 0.0006 0.7037 x4  7 Pd 2.76-2.85, 2 Sb 2.77
11 Pd 0.3340 0.9995 0.9269 x4  12 Pd 2.76-2.80
12 Pd 0.4987 0.2500 0.2207 x2  11 Pd 2.76-2.85, 1 Sb 2.77
13 Pd 0.4988 0.7500 0.0001 x2  12 Pd 2.76-2.79
14 Pd 0.4991 0.7500 0.2209 x2  12 Pd 2.76-2.84

Values from the calculation:
Calculated total energy (eV per atom): -5.1376

***

Record 8
An optimized crystal structure of ScSbPd2. Source: OQMD via LeMat-Bulk, functional PBE.

Unit cell a=6.6200 b=6.6200 c=6.6200 alpha=90.00 beta=90.00 gamma=90.00
Closest atoms and distances in Å follow each position.
Space group F-43m (No. 216)
Inequivalent atoms, fractional coordinates:
1 Sc 0.0000 0.0000 0.0000 x4  4 Sb 2.87, 4 Pd 2.87
2 Sb 0.2500 0.2500 0.7500 x4  4 Sc 2.87, 4 Pd 2.87
3 Pd 0.0000 0.0000 0.5000 x4  4 Pd 2.87, 4 Sb 2.87
4 Pd 0.2500 0.2500 0.2500 x4  4 Sc 2.87, 4 Pd 2.87

Values from the calculation:
Calculated total energy (eV per atom): -5.8695
Size of the total moment (μB per cell): 0.00

***

Record 9
An optimized crystal structure of ScSb2Pd. Source: OQMD via LeMat-Bulk, functional PBE.

Unit cell a=7.0692 b=7.0692 c=7.0692 alpha=90.00 beta=90.00 gamma=90.00
Closest atoms and distances in Å follow each position.
Space group F-43m (No. 216)
Inequivalent atoms, fractional coordinates:
1 Sc 0.0000 0.0000 0.0000 x4  4 Sb 3.06, 4 Pd 3.06
2 Sb 0.0000 0.0000 0.5000 x4  4 Sb 3.06, 4 Pd 3.06
3 Sb 0.2500 0.2500 0.2500 x4  4 Sb 3.06, 4 Sc 3.06
4 Pd 0.2500 0.2500 0.7500 x4  4 Sb 3.06, 4 Sc 3.06

Values from the calculation:
Calculated total energy (eV per atom): -5.2259
Size of the total moment (μB per cell): 0.01

***

Record 10
An optimized crystal structure of YScSb2Pd2. Source: OQMD via LeMat-Bulk, functional PBE.

Unit cell a=9.1764 b=4.5844 c=13.7546 alpha=90.00 beta=109.42 gamma=90.00
Closest atoms and distances in Å follow each position.
Space group Pm (No. 6)
Inequivalent atoms, fractional coordinates:
1 Y 0.0000 0.0000 0.0000 x1  4 Pd 2.82-2.86
2 Y 0.1238 0.5000 0.7466 x1  4 Pd 2.82-2.88
3 Y 0.2499 0.0000 0.4975 x1  4 Pd 2.83-2.87
4 Y 0.5020 0.0000 0.0000 x1  4 Pd 2.84-2.87
5 Sc 0.3768 0.5000 0.2500 x1  4 Pd 2.76-2.77
6 Sc 0.6256 0.5000 0.7466 x1  4 Pd 2.73-2.78
7 Sc 0.7478 0.0000 0.4963 x1  4 Pd 2.77-2.79
8 Sc 0.8752 0.5000 0.2502 x1  4 Pd 2.75-2.78
9 Sb 0.1262 0.0000 0.2510 x1  4 Pd 2.76-2.81
10 Sb 0.2524 0.5000 0.0033 x1  4 Pd 2.84-2.85
11 Sb 0.3788 0.0000 0.7482 x1  4 Pd 2.75-2.84
12 Sb 0.5022 0.5000 0.4949 x1  4 Pd 2.73-2.81
13 Sb 0.6266 0.0000 0.2506 x1  4 Pd 2.73-2.76
14 Sb 0.7508 0.5000 0.9988 x1  4 Pd 2.86
15 Sb 0.8688 0.0000 0.7434 x1  4 Pd 2.76-2.87
16 Sb 0.9940 0.5000 0.4956 x1  4 Pd 2.80-2.95
17 Pd 0.0660 0.5000 0.1321 x1  2 Sc 2.76-2.77, 4 Sb 2.76-2.86, 2 Y 2.86
18 Pd 0.1868 0.0000 0.8734 x1  4 Y 2.82-2.84, 4 Sb 2.84-2.87
19 Pd 0.3225 0.5000 0.6252 x1  1 Sc 2.73, 4 Sb 2.79-2.95, 3 Y 2.83-2.85
20 Pd 0.4418 0.0000 0.3704 x1  4 Sb 2.73-2.81, 3 Sc 2.77, 1 Y 2.86
21 Pd 0.5680 0.5000 0.1317 x1  2 Sc 2.75-2.76, 4 Sb 2.76-2.86, 2 Y 2.86
22 Pd 0.6858 0.0000 0.8672 x1  4 Sb 2.75-2.86, 2 Sc 2.78, 2 Y 2.85-2.87
23 Pd 0.8040 0.5000 0.6186 x1  4 Sb 2.73-2.81, 3 Sc 2.77-2.79, 1 Y 2.88
24 Pd 0.9304 0.0000 0.3708 x1  4 Sb 2.73-2.81, 3 Sc 2.78, 1 Y 2.87

Values from the calculation:
Calculated total energy (eV per atom): -6.3103
Size of the total moment (μB per cell): 0.01